Entry from the Alexandria database: a geometry-optimized Ca2AcSiP structure (PBE).

abc: 4.876 4.876 7.159
angles: 90.00 90.00 90.00
Element x y z (fractional)
Ca (0.000, 0.500, 0.000)
Ca (0.500, 0.000, 0.000)
Ac (0.000, 0.000, 0.578)
Si (0.500, 0.500, 0.727)
P (0.000, 0.000, 0.178)

Properties
The value obtained for the total moment is 0.00 μB/cell. The crystal system is tetragonal. The calculation puts the total energy at -21.93 eV per cell. The symmetry is P4mm, No. 99. The formation energy without anion corrections comes out at -0.60 eV per atom.

---

Entry from the Alexandria database: a geometry-optimized Ca2AcSnP structure (PBE).

abc: 5.362 5.362 6.001
angles: 90.00 90.00 90.00
Element x y z (fractional)
Ca (0.000, 0.500, 0.000)
Ca (0.500, 0.000, 0.000)
Ac (0.000, 0.000, 0.536)
Sn (0.500, 0.500, 0.597)
P (0.000, 0.000, 0.048)

Properties
The value obtained for the total moment is 0.00 μB/cell. The crystal system is tetragonal. For the formation enthalpy at 0 K, the calculation gives -0.81 eV per atom. The calculation puts the total energy at -21.58 eV per cell. The symmetry is P4mm, No. 99.

---

Entry from the Alexandria database: a geometry-optimized Ca2AcUP4 structure (PBE).

abc: 7.139 4.207 7.320
angles: 90.00 109.86 90.00
Element x y z (fractional)
Ca (0.000, 0.000, 0.000)
Ca (0.000, 0.500, 0.500)
Ac (0.500, 0.000, 0.500)
U (0.500, 0.500, 0.000)
P (0.261, 0.500, 0.223)
P (0.270, 0.000, 0.778)
P (0.730, 0.000, 0.222)
P (0.739, 0.500, 0.777)

Properties
The value obtained for the total moment is 1.00 μB/cell. The crystal system is monoclinic. For the formation enthalpy at 0 K, the calculation gives -1.12 eV per atom. The calculation puts the total energy at -50.03 eV per cell. The symmetry is P2/m, No. 10.

---

Entry from the Alexandria database: a geometry-optimized CaAcPa structure (PBE).

abc: 3.831 3.831 15.183
angles: 90.11 90.11 88.64
Element x y z (fractional)
Ca (0.246, 0.246, 0.207)
Ca (0.754, 0.754, 0.793)
Ac (0.250, 0.250, 0.594)
Ac (0.750, 0.750, 0.406)
Pa (0.268, 0.268, 0.965)
Pa (0.732, 0.732, 0.035)

Properties
The value obtained for the total moment is 0.00 μB/cell. The crystal system is monoclinic. For the formation enthalpy at 0 K, the calculation gives 0.23 eV per atom. The calculation puts the total energy at -29.82 eV per cell. The symmetry is C2/m, No. 12.

---

Entry from the Alexandria database: a geometry-optimized Ca2AcPa structure (PBE).

abc: 13.637 13.637 13.637
angles: 14.75 14.75 14.75
Element x y z (fractional)
Ca (0.084, 0.084, 0.084)
Ca (0.916, 0.916, 0.916)
Ac (0.500, 0.500, 0.500)
Pa (0.000, 0.000, 0.000)

Properties
The value obtained for the total moment is 0.00 μB/cell. The crystal system is trigonal. For the formation enthalpy at 0 K, the calculation gives 0.51 eV per atom. The calculation puts the total energy at -15.56 eV per cell. The symmetry is R-3m, No. 166.

---

Entry from the Alexandria database: a geometry-optimized CaAc2Pa2Rh5 structure (PBE).

abc: 11.516 11.516 3.624
angles: 90.00 90.00 90.00
Element x y z (fractional)
Ca (0.000, 0.000, 0.000)
Ca (0.500, 0.500, 0.000)
Ac (0.175, 0.325, 0.000)
Ac (0.325, 0.825, 0.000)
Ac (0.675, 0.175, 0.000)
Ac (0.825, 0.675, 0.000)
Pa (0.132, 0.632, 0.000)
Pa (0.368, 0.132, 0.000)
Pa (0.632, 0.868, 0.000)
Pa (0.868, 0.368, 0.000)
Rh (0.000, 0.500, 0.500)
Rh (0.048, 0.778, 0.500)
Rh (0.222, 0.048, 0.500)
Rh (0.278, 0.548, 0.500)
Rh (0.452, 0.278, 0.500)
Rh (0.500, 0.000, 0.500)
Rh (0.548, 0.722, 0.500)
Rh (0.722, 0.452, 0.500)
Rh (0.778, 0.952, 0.500)
Rh (0.952, 0.222, 0.500)

Properties
The value obtained for the total moment is 0.00 μB/cell. The crystal system is tetragonal. For the formation enthalpy at 0 K, the calculation gives -0.52 eV per atom. The calculation puts the total energy at -142.31 eV per cell. The symmetry is P4/mbm, No. 127.

---

Entry from the Alexandria database: a geometry-optimized CaAc2PaSb4 structure (PBE).

abc: 7.985 4.626 7.985
angles: 90.00 109.30 90.00
Element x y z (fractional)
Ca (0.000, 0.000, 0.000)
Ac (0.000, 0.500, 0.500)
Ac (0.500, 0.000, 0.500)
Pa (0.500, 0.500, 0.000)
Sb (0.253, 0.500, 0.228)
Sb (0.265, 0.000, 0.775)
Sb (0.735, 0.000, 0.225)
Sb (0.747, 0.500, 0.772)

Properties
The value obtained for the total moment is 0.54 μB/cell. The crystal system is monoclinic. The calculation puts the total energy at -43.78 eV per cell. The symmetry is P2/m, No. 10. The formation energy without anion corrections comes out at -0.95 eV per atom.

---

Entry from the Alexandria database: a geometry-optimized Ca2AcPaSe6 structure (PBE).

abc: 7.903 7.903 7.903
angles: 56.23 56.23 56.23
Element x y z (fractional)
Ca (0.000, 0.000, 0.000)
Ca (0.490, 0.490, 0.490)
Ac (0.201, 0.201, 0.201)
Pa (0.689, 0.689, 0.689)
Se (0.066, 0.426, 0.794)
Se (0.302, 0.877, 0.616)
Se (0.426, 0.794, 0.066)
Se (0.616, 0.302, 0.877)
Se (0.794, 0.066, 0.426)
Se (0.877, 0.616, 0.302)

Properties
The value obtained for the total moment is 0.00 μB/cell. The crystal system is trigonal. The calculation puts the total energy at -55.80 eV per cell. The symmetry is R3, No. 146. The formation energy without anion corrections comes out at -1.73 eV per atom.

---

Entry from the Alexandria database: a geometry-optimized Ca2Ac2Pb3 structure (PBE).

abc: 9.271 9.271 5.583
angles: 107.47 107.47 34.72
Element x y z (fractional)
Ca (0.120, 0.120, 0.119)
Ca (0.880, 0.880, 0.881)
Ac (0.373, 0.373, 0.374)
Ac (0.627, 0.627, 0.626)
Pb (0.000, 0.000, 0.500)
Pb (0.256, 0.256, 0.756)
Pb (0.744, 0.744, 0.244)

Properties
The value obtained for the total moment is 0.00 μB/cell. The crystal system is monoclinic. For the formation enthalpy at 0 K, the calculation gives -0.44 eV per atom. The calculation puts the total energy at -26.43 eV per cell. The symmetry is C2/m, No. 12.

---

Entry from the Alexandria database: a geometry-optimized CaAcPb2 structure (PBE).

abc: 4.071 4.071 7.989
angles: 90.00 90.00 90.00
Element x y z (fractional)
Ca (0.000, 0.000, 0.000)
Ac (0.000, 0.000, 0.500)
Pb (0.500, 0.500, 0.228)
Pb (0.500, 0.500, 0.772)

Properties
The value obtained for the total moment is 0.00 μB/cell. The crystal system is tetragonal. For the formation enthalpy at 0 K, the calculation gives -0.48 eV per atom. The calculation puts the total energy at -15.46 eV per cell. The symmetry is P4/mmm, No. 123.

---

Entry from the Alexandria database: a geometry-optimized CaAc2Pb2 structure (PBE).

abc: 8.550 8.550 5.022
angles: 90.00 90.00 90.00
Element x y z (fractional)
Ca (0.000, 0.000, 0.000)
Ca (0.500, 0.500, 0.000)
Ac (0.175, 0.325, 0.500)
Ac (0.325, 0.825, 0.500)
Ac (0.675, 0.175, 0.500)
Ac (0.825, 0.675, 0.500)
Pb (0.128, 0.628, 0.000)
Pb (0.372, 0.128, 0.000)
Pb (0.628, 0.872, 0.000)
Pb (0.872, 0.372, 0.000)

Properties
The value obtained for the total moment is 0.00 μB/cell. The crystal system is tetragonal. For the formation enthalpy at 0 K, the calculation gives -0.57 eV per atom. The calculation puts the total energy at -40.98 eV per cell. The offset from the most stable computed form is 0.0000 eV/atom. The symmetry is P4/mbm, No. 127.

---

Entry from the Alexandria database: a geometry-optimized Ca2Ac3Pb3 structure (PBE).

abc: 9.783 9.783 7.071
angles: 90.00 90.00 120.00
Element x y z (fractional)
Ca (0.333, 0.667, 0.000)
Ca (0.333, 0.667, 0.500)
Ca (0.667, 0.333, 0.000)
Ca (0.667, 0.333, 0.500)
Ac (0.000, 0.254, 0.250)
Ac (0.000, 0.746, 0.750)
Ac (0.254, 0.000, 0.250)
Ac (0.254, 0.254, 0.750)
Ac (0.746, 0.000, 0.750)
Ac (0.746, 0.746, 0.250)
Pb (0.000, 0.395, 0.750)
Pb (0.000, 0.605, 0.250)
Pb (0.395, 0.000, 0.750)
Pb (0.395, 0.395, 0.250)
Pb (0.605, 0.000, 0.250)
Pb (0.605, 0.605, 0.750)

Properties
The value obtained for the total moment is 0.00 μB/cell. The crystal system is hexagonal. For the formation enthalpy at 0 K, the calculation gives -0.55 eV per atom. The calculation puts the total energy at -63.73 eV per cell. The offset from the most stable computed form is 0.0000 eV/atom. The symmetry is P6_3/mcm, No. 193.